Record 1
Here is an optimized crystal structure of TaFe3P from Alexandria. Energies are from PBE.

Unit cell a=4.5331 b=4.5331 c=4.5331 alpha=90.00 beta=90.00 gamma=90.00
With the nearest neighbours (Å) after each atom.
Fractional positions:
Ta (0.0000, 0.0000, 0.0000)  6 Fe 2.27
Fe (0.0000, 0.0000, 0.5000)  2 Ta 2.27
Fe (0.0000, 0.5000, 0.0000)  2 Ta 2.27
Fe (0.5000, 0.0000, 0.0000)  2 Ta 2.27
P (0.5000, 0.5000, 0.5000)  12 Fe 3.21

Computed properties:
Its density of states at the Fermi level is 1.1662 states/eV per atom. The spin magnetization comes out at 5.3 μB per formula unit. For the formation energy, the calculation gives 1693 meV per atom. The calculation puts the electronic total energy at -6.837 eV per atom. Its energy above the lowest structure with this stoichiometry is 1.440 eV/atom.

=====

Record 2
Here is an optimized crystal structure of Ta2FeP2 from Alexandria. Energies are from PBE.

Unit cell a=5.7625 b=5.7625 c=4.1134 alpha=90.00 beta=90.00 gamma=90.00
With the nearest neighbours (Å) after each atom.
Fractional positions:
Ta (0.1800, 0.3200, 0.0000)  6 P 2.54-2.76
Ta (0.3200, 0.8200, 0.0000)  6 P 2.54-2.76
Ta (0.6800, 0.1800, 0.0000)  6 P 2.54-2.76
Ta (0.8200, 0.6800, 0.0000)  6 P 2.54-2.76
Fe (0.0000, 0.0000, 0.5000)  4 P 2.23
Fe (0.5000, 0.5000, 0.5000)  4 P 2.23
P (0.1377, 0.6377, 0.5000)  2 Fe 2.23, 1 P 2.24
P (0.3623, 0.1377, 0.5000)  2 Fe 2.23, 1 P 2.24
P (0.6377, 0.8623, 0.5000)  2 Fe 2.23, 1 P 2.24
P (0.8623, 0.3623, 0.5000)  2 Fe 2.23, 1 P 2.24

Computed properties:
Its density of states at the Fermi level is 0.6328 states/eV per atom. The spin magnetization comes out at 0.0 μB per formula unit. For the formation energy, the calculation gives -465 meV per atom. The calculation puts the electronic total energy at -9.062 eV per atom.

=====

Record 3
Here is an optimized crystal structure of TaFe2P from Alexandria. Energies are from PBE.

Unit cell a=3.4966 b=5.1650 c=5.1650 alpha=34.96 beta=90.00 gamma=90.00
With the nearest neighbours (Å) after each atom.
Fractional positions:
Ta (0.0000, 0.0000, 0.0000)  4 P 2.55, 7 Fe 2.56-2.83
Fe (0.0000, 0.2595, 0.2595)  2 P 2.21
Fe (0.5000, 0.6567, 0.6567)  4 Fe 2.55, 3 P 2.57-2.82, 4 Ta 2.80
P (0.5000, 0.3960, 0.3960)  2 Fe 2.21

Computed properties:
Its density of states at the Fermi level is 0.7726 states/eV per atom. The spin magnetization comes out at 3.5 μB per formula unit. For the formation energy, the calculation gives -271 meV per atom. The calculation puts the electronic total energy at -8.818 eV per atom.

=====

Record 4
Here is an optimized crystal structure of TaFe2P from Alexandria. Energies are from PBE.

Unit cell a=4.8366 b=4.8366 c=4.2153 alpha=115.67 beta=115.67 gamma=35.34
With the nearest neighbours (Å) after each atom.
Fractional positions:
Ta (0.0000, 0.0000, 0.0000)  4 P 2.57, 8 Fe 2.73-2.77
Fe (0.2193, 0.2193, 0.7189)  2 P 2.32
Fe (0.7807, 0.7807, 0.2811)  2 P 2.32
P (0.5000, 0.5000, 0.5000)  4 Fe 2.32, 4 Ta 2.57

Computed properties:
Its density of states at the Fermi level is 0.8696 states/eV per atom. The spin magnetization comes out at 2.2 μB per formula unit. For the formation energy, the calculation gives -225 meV per atom. The calculation puts the electronic total energy at -8.772 eV per atom.

=====

Record 5
Here is an optimized crystal structure of TaFe2P from Alexandria. Energies are from PBE.

Unit cell a=2.9331 b=3.8191 c=4.8297 alpha=90.00 beta=96.11 gamma=90.00
With the nearest neighbours (Å) after each atom.
Fractional positions:
Ta (0.0000, 0.0000, 0.0000)  8 Fe 2.69-2.70, 4 P 2.69-2.96, 2 Ta 2.93
Fe (0.4589, 0.5000, 0.7494)  2 P 2.27, 2 Fe 2.41-2.45
Fe (0.5411, 0.5000, 0.2506)  2 P 2.27, 2 Fe 2.41-2.45
P (0.5000, 0.0000, 0.5000)  4 Fe 2.27

Computed properties:
Its density of states at the Fermi level is 0.9632 states/eV per atom. The spin magnetization comes out at 2.7 μB per formula unit. For the formation energy, the calculation gives -150 meV per atom. The calculation puts the electronic total energy at -8.697 eV per atom.

=====

Record 6
Here is an optimized crystal structure of TaFe2P from Alexandria. Energies are from PBE.

Unit cell a=12.9095 b=6.3621 c=4.7832 alpha=90.00 beta=90.00 gamma=90.00
With the nearest neighbours (Å) after each atom.
Fractional positions:
Ta (0.1116, 0.2500, 0.2414)  3 P 2.50-2.60, 6 Fe 2.67-2.75
Ta (0.1372, 0.7500, 0.0236)  3 P 2.53-2.60, 6 Fe 2.65-2.77
Ta (0.3628, 0.2500, 0.5236)  3 P 2.53-2.60, 6 Fe 2.65-2.77
Ta (0.3884, 0.7500, 0.7414)  3 P 2.50-2.60, 6 Fe 2.67-2.75
Ta (0.6116, 0.2500, 0.2586)  3 P 2.50-2.60, 6 Fe 2.67-2.75
Ta (0.6372, 0.7500, 0.4764)  3 P 2.53-2.60, 6 Fe 2.65-2.77
Ta (0.8628, 0.2500, 0.9764)  3 P 2.53-2.60, 6 Fe 2.65-2.77
Ta (0.8884, 0.7500, 0.7586)  3 P 2.50-2.60, 6 Fe 2.67-2.75
Fe (0.0340, 0.0473, 0.7539)  3 P 2.24-2.28
Fe (0.0340, 0.4527, 0.7539)  3 P 2.24-2.28
Fe (0.2158, 0.5497, 0.5344)  3 P 2.22-2.29
Fe (0.2158, 0.9503, 0.5344)  3 P 2.22-2.29
Fe (0.2842, 0.0497, 0.0344)  3 P 2.22-2.29
Fe (0.2842, 0.4503, 0.0344)  3 P 2.22-2.29
Fe (0.4660, 0.5473, 0.2539)  3 P 2.24-2.28
Fe (0.4660, 0.9527, 0.2539)  3 P 2.24-2.28
Fe (0.5340, 0.0473, 0.7461)  3 P 2.24-2.28
Fe (0.5340, 0.4527, 0.7461)  3 P 2.24-2.28
Fe (0.7158, 0.5497, 0.9656)  3 P 2.22-2.29
Fe (0.7158, 0.9503, 0.9656)  3 P 2.22-2.29
Fe (0.7842, 0.0497, 0.4656)  3 P 2.22-2.29
Fe (0.7842, 0.4503, 0.4656)  3 P 2.22-2.29
Fe (0.9660, 0.5473, 0.2461)  3 P 2.24-2.28
Fe (0.9660, 0.9527, 0.2461)  3 P 2.24-2.28
P (0.0691, 0.7500, 0.5203)  6 Fe 2.24-2.28
P (0.1801, 0.2500, 0.7522)  6 Fe 2.22-2.29
P (0.3199, 0.7500, 0.2522)  6 Fe 2.22-2.29
P (0.4309, 0.2500, 0.0203)  6 Fe 2.24-2.28
P (0.5691, 0.7500, 0.9797)  6 Fe 2.24-2.28
P (0.6801, 0.2500, 0.7478)  6 Fe 2.22-2.29
P (0.8199, 0.7500, 0.2478)  6 Fe 2.22-2.29
P (0.9309, 0.2500, 0.4797)  6 Fe 2.24-2.28

Computed properties:
Its density of states at the Fermi level is 0.8078 states/eV per atom. The spin magnetization comes out at 0.0 μB per formula unit. For the formation energy, the calculation gives -572 meV per atom. The calculation puts the electronic total energy at -9.119 eV per atom.

=====

Record 7
Here is an optimized crystal structure of YTaFeP2 from Alexandria. Energies are from PBE.

Unit cell a=4.4514 b=4.4514 c=4.6121 alpha=90.00 beta=90.00 gamma=90.00
With the nearest neighbours (Å) after each atom.
Fractional positions:
Y (0.0000, 0.0000, 0.0000)  4 Ta 3.15, 8 P 3.20
Ta (0.5000, 0.5000, 0.0000)  2 Fe 2.31
Fe (0.5000, 0.5000, 0.5000)  4 P 2.23, 2 Ta 2.31
P (0.0000, 0.5000, 0.5000)  2 Fe 2.23
P (0.5000, 0.0000, 0.5000)  2 Fe 2.23

Computed properties:
Its density of states at the Fermi level is 0.9311 states/eV per atom. The spin magnetization comes out at 0.8 μB per formula unit. For the formation energy, the calculation gives 212 meV per atom. The calculation puts the electronic total energy at -7.308 eV per atom.

=====

Record 8
Here is an optimized crystal structure of TbFe5P3 from Alexandria. Energies are from PBE.

Unit cell a=11.8318 b=3.6579 c=10.3186 alpha=90.00 beta=90.00 gamma=90.00
With the nearest neighbours (Å) after each atom.
Fractional positions:
Tb (0.2042, 0.2500, 0.0805)  6 P 2.80-2.88, 10 Fe 2.95-3.11
Tb (0.2958, 0.7500, 0.5805)  6 P 2.80-2.88, 10 Fe 2.95-3.11
Tb (0.7042, 0.2500, 0.4195)  6 P 2.80-2.88, 10 Fe 2.95-3.11
Tb (0.7958, 0.7500, 0.9195)  6 P 2.80-2.88, 10 Fe 2.95-3.11
Fe (0.0093, 0.7500, 0.0952)  4 P 2.26-2.31
Fe (0.0107, 0.7500, 0.7078)  3 P 2.25-2.47
Fe (0.0674, 0.7500, 0.4633)  4 P 2.15-2.24
Fe (0.1763, 0.2500, 0.7804)  4 P 2.23-2.36
Fe (0.2019, 0.2500, 0.3750)  4 P 2.32-2.34, 4 Fe 2.53-2.59
Fe (0.2981, 0.7500, 0.8750)  4 P 2.32-2.34, 4 Fe 2.53-2.59
Fe (0.3237, 0.7500, 0.2804)  4 P 2.23-2.36
Fe (0.4326, 0.2500, 0.9633)  4 P 2.15-2.24
Fe (0.4893, 0.2500, 0.2078)  3 P 2.25-2.47
Fe (0.4907, 0.2500, 0.5952)  4 P 2.26-2.31
Fe (0.5093, 0.7500, 0.4048)  4 P 2.26-2.31
Fe (0.5107, 0.7500, 0.7922)  3 P 2.25-2.47
Fe (0.5674, 0.7500, 0.0367)  4 P 2.15-2.24
Fe (0.6763, 0.2500, 0.7196)  4 P 2.23-2.36
Fe (0.7019, 0.2500, 0.1250)  4 P 2.32-2.34, 4 Fe 2.53-2.59
Fe (0.7981, 0.7500, 0.6250)  4 P 2.32-2.34, 4 Fe 2.53-2.59
Fe (0.8237, 0.7500, 0.2196)  4 P 2.23-2.36
Fe (0.9326, 0.2500, 0.5367)  4 P 2.15-2.24
Fe (0.9893, 0.2500, 0.2922)  3 P 2.25-2.47
Fe (0.9907, 0.2500, 0.9048)  4 P 2.26-2.31
P (0.1028, 0.7500, 0.8987)  7 Fe 2.25-2.36
P (0.1124, 0.2500, 0.5770)  5 Fe 2.17-2.34
P (0.1278, 0.7500, 0.2665)  5 Fe 2.15-2.32
P (0.3722, 0.2500, 0.7665)  5 Fe 2.15-2.32
P (0.3876, 0.7500, 0.0770)  5 Fe 2.17-2.34
P (0.3972, 0.2500, 0.3987)  7 Fe 2.25-2.36
P (0.6028, 0.7500, 0.6013)  7 Fe 2.25-2.36
P (0.6124, 0.2500, 0.9230)  5 Fe 2.17-2.34
P (0.6278, 0.7500, 0.2335)  5 Fe 2.15-2.32
P (0.8722, 0.2500, 0.7335)  5 Fe 2.15-2.32
P (0.8876, 0.7500, 0.4230)  5 Fe 2.17-2.34
P (0.8972, 0.2500, 0.1013)  7 Fe 2.25-2.36

Computed properties:
Its density of states at the Fermi level is 0.8526 states/eV per atom. The spin magnetization comes out at 1.5 μB per formula unit. For the formation energy, the calculation gives -736 meV per atom. The calculation puts the electronic total energy at -7.755 eV per atom. Its energy above the lowest structure with this stoichiometry is 0.000 eV/atom.